CaLa2Cd GGA-PBEsol relaxed; volume = 126.6 Å³/cell; energy of formation = -0.129 eV/atom; space group = Immm; energy = -3.63 eV per atom
1.0
-1.832 2.761 6.259
1.832 -2.761 6.259
1.832 2.761 -6.259
Ca La Cd
1 2 1
Direct
0.000 0.000 0.000
0.285 0.785 0.500
0.715 0.215 0.500
0.500 0.500 0.000



Nb2BI GGA-PBEsol relaxed; volume = 63.9 Å³/cell; space group = Fm-3m; formation energy (no corrections) = 2.6 eV/f.u.; energy = -6.96 eV per atom
1.0
0.000 3.173 3.173
3.173 0.000 3.173
3.173 3.173 0.000
Nb B I
2 1 1
Direct
0.250 0.250 0.250
0.750 0.750 0.750
0.000 0.000 0.000
0.500 0.500 0.500



Dy2AgRu GGA-PBEsol relaxed; volume = 81.5 Å³/cell; energy of formation = -0.331 eV/atom; space group = Fm-3m; energy = -6.19 eV per atom
1.0
0.000 3.441 3.441
3.441 0.000 3.441
3.441 3.441 0.000
Dy Ag Ru
2 1 1
Direct
0.250 0.250 0.250
0.750 0.750 0.750
0.000 0.000 0.000
0.500 0.500 0.500